# 1
First-principles (PBE) data for a relaxed structure of Th3Bi2Os, as listed in Alexandria.

Output
Polymorph energy (0 for the lowest one)   0.0 meV per atom
Space-group type   No. 71
Calculated volume   376 Å³ per cell
DFT total energy   -88.26 eV/cell

Cell lengths 6.3988, 8.5378, 7.8807 Å; angles 105.72, 113.95, 90.00 degrees
Sites, in units of the cell vectors:
Os 0.0002 0.2500 0.0000
Os 0.9998 0.7500 0.0000
Th 0.1332 0.5664 0.2664
Th 0.8668 0.4336 0.7336
Th 0.1332 0.0664 0.2664
Th 0.5003 0.7500 0.0000
Th 0.8668 0.9336 0.7336
Th 0.4997 0.2500 0.0000
Bi 0.6812 0.0906 0.3623
Bi 0.3188 0.4094 0.6377
Bi 0.3188 0.9094 0.6377
Bi 0.6812 0.5906 0.3623

# 2
First-principles (PBE) data for a relaxed structure of Pm2Sn3Bi2, as listed in Alexandria.

Output
Space-group type   No. 199
Calculated volume   429 Å³ per cell
DFT total energy   -63.78 eV/cell

Cell lengths 8.2310, 8.2310, 8.2310 Å; angles 109.47, 109.47, 109.47 degrees
Sites, in units of the cell vectors:
Bi 0.1488 0.6488 0.6488
Bi 0.3512 0.5000 0.0000
Bi 0.5000 0.8512 0.5000
Bi 0.0000 0.0000 0.8512
Pm 0.0000 0.0000 0.4677
Pm 0.9677 0.5000 0.0000
Pm 0.5323 0.0323 0.0323
Pm 0.5000 0.4677 0.5000
Sn 0.7500 0.5152 0.2652
Sn 0.7652 0.2500 0.5152
Sn 0.4848 0.2348 0.7500
Sn 0.7348 0.7500 0.9848
Sn 0.0152 0.2652 0.2500
Sn 0.2500 0.9848 0.2348

# 3
First-principles (PBE) data for a relaxed structure of RbNbZn2Mo, as listed in Alexandria.

Output
Space-group type   No. 123
Calculated volume   150 Å³ per cell
DFT total energy   -11.54 eV/cell

Cell lengths 5.2690, 5.4103, 5.2690 Å; angles 90.00, 90.00, 90.00 degrees
Last column: magnetic moment on the atom in μB.
Sites, in units of the cell vectors:
Mo 0.5000 0.5000 0.5000  -3.48
Zn 0.0000 0.0000 0.5000  0.01
Zn 0.5000 0.0000 0.0000  0.00
Rb 0.0000 0.0000 0.0000  0.12
Nb 0.0000 0.5000 0.0000  2.66

# 4
First-principles (PBE) data for a relaxed structure of Li2Sc2Cu15, as listed in Alexandria.

Output
Space-group type   No. 166
Calculated volume   257 Å³ per cell
DFT total energy   -79.87 eV/cell

Cell lengths 6.4183, 6.4183, 6.4183 Å; angles 82.09, 82.09, 82.09 degrees
Sites, in units of the cell vectors:
Li 0.9041 0.9041 0.9041
Li 0.0959 0.0959 0.0959
Cu 0.3450 0.3450 0.8377
Cu 0.1623 0.6550 0.6550
Cu 0.6871 0.3129 0.0000
Cu 0.5000 0.0000 0.0000
Cu 0.0000 0.0000 0.5000
Cu 0.6550 0.1623 0.6550
Cu 0.0000 0.6871 0.3129
Cu 0.3129 0.0000 0.6871
Cu 0.6550 0.6550 0.1623
Cu 0.6871 0.0000 0.3129
Cu 0.3129 0.6871 0.0000
Cu 0.0000 0.5000 0.0000
Cu 0.3450 0.8377 0.3450
Cu 0.8377 0.3450 0.3450
Cu 0.0000 0.3129 0.6871
Sc 0.3504 0.3504 0.3504
Sc 0.6496 0.6496 0.6496

Q: Which value of calculated volume does entry 4 give?
A: 257 Å³ per cell

Q: Number 1 is which compound?
A: Th3Bi2Os